This record from Alexandria describes an optimized crystal structure of MnPt2Se6. The functional is PBE-GGA. Values from VASP.

Cell and atoms, written as Quantum ESPRESSO input:
```
&SYSTEM
  ibrav = 0, nat = 9, ntyp = 3
/
ATOMIC_SPECIES
Mn 54.94 Mn.upf
Pt 195.08 Pt.upf
Se 78.96 Se.upf
CELL_PARAMETERS angstrom
8.268 -1.849 0.000
8.268 1.849 0.000
-2.096 0.000 7.288
ATOMIC_POSITIONS crystal
Mn 0.000 0.000 0.000
Pt 0.335 0.335 0.669
Pt 0.665 0.665 0.331
Se 0.157 0.157 0.099
Se 0.176 0.176 0.563
Se 0.495 0.495 0.773
Se 0.505 0.505 0.227
Se 0.824 0.824 0.437
Se 0.843 0.843 0.901
```

Computed properties:
Space-group type ... C2/m (12)
Raw formation energy ... -0.40 eV per atom